No. 1
# PBE ZrAl2Ge2, optimized geometry
# Mass density (Mg/m³): 5.29
data_ZrAl2Ge2
_chemical_formula_sum 'Zr2 Al4 Ge4'
_cell_length_a 7.138
_cell_length_b 7.138
_cell_length_c 3.579
_cell_angle_alpha 90.00
_cell_angle_beta 90.00
_cell_angle_gamma 90.00
_symmetry_space_group_name_H-M 'P 1'
_symmetry_Int_Tables_number 1
loop_
_symmetry_equiv_pos_as_xyz
'x,y,z'
loop_
_atom_site_label
_atom_site_type_symbol
_atom_site_fract_x
_atom_site_fract_y
_atom_site_fract_z
Zr1 Zr 0.000 0.000 0.000
Zr2 Zr 0.500 0.500 0.000
Al1 Al 0.156 0.344 0.500
Al2 Al 0.344 0.844 0.500
Al3 Al 0.656 0.156 0.500
Al4 Al 0.844 0.656 0.500
Ge1 Ge 0.139 0.639 0.000
Ge2 Ge 0.361 0.139 0.000
Ge3 Ge 0.639 0.861 0.000
Ge4 Ge 0.861 0.361 0.000

***

No. 2
# PBE AlH, optimized geometry
# Mass density (Mg/m³): 2.04
# Energy above the lowest structure with this stoichiometry (meV per atom): 353.7
data_AlH
_chemical_formula_sum 'Al4 H4'
_cell_length_a 4.911
_cell_length_b 4.911
_cell_length_c 4.911
_cell_angle_alpha 109.47
_cell_angle_beta 109.47
_cell_angle_gamma 109.47
_symmetry_space_group_name_H-M 'P 1'
_symmetry_Int_Tables_number 1
loop_
_symmetry_equiv_pos_as_xyz
'x,y,z'
loop_
_atom_site_label
_atom_site_type_symbol
_atom_site_fract_x
_atom_site_fract_y
_atom_site_fract_z
Al1 Al 0.000 0.000 0.422
Al2 Al 0.000 0.422 0.000
Al3 Al 0.422 0.000 0.000
Al4 Al 0.578 0.578 0.578
H1 H 0.000 0.000 0.769
H2 H 0.000 0.769 0.000
H3 H 0.231 0.231 0.231
H4 H 0.769 0.000 0.000

***

No. 3
# PBE AlH2, optimized geometry
# Mass density (Mg/m³): 1.38
data_AlH2
_chemical_formula_sum 'Al2 H4'
_cell_length_a 4.245
_cell_length_b 4.514
_cell_length_c 4.533
_cell_angle_alpha 63.02
_cell_angle_beta 66.18
_cell_angle_gamma 70.88
_symmetry_space_group_name_H-M 'P 1'
_symmetry_Int_Tables_number 1
loop_
_symmetry_equiv_pos_as_xyz
'x,y,z'
loop_
_atom_site_label
_atom_site_type_symbol
_atom_site_fract_x
_atom_site_fract_y
_atom_site_fract_z
Al1 Al 0.008 0.334 0.332
Al2 Al 0.992 0.666 0.668
H1 H 0.275 0.578 0.884
H2 H 0.279 0.979 0.299
H3 H 0.721 0.021 0.701
H4 H 0.725 0.422 0.116

***

| no. | VASP energy (eV per cell) |
| --- | --- |
| 1 | -52.312 |
| 2 | -24.434 |
| 3 | -20.368 |